Below is an optimized crystal structure of Li7Mn2Co3O12, with properties calculated at the GGA+U level.

Summary:
Energy above the most stable polymorph in this dataset ... 19 meV per atom
Size of the total moment ... 6.0 μB per formula unit

CIF file:
```
data_Li7Mn2Co3O12
_chemical_formula_sum 'Li14 Mn4 Co6 O24'
_space_group_name_H-M_alt 'C 1 2/m 1'
_space_group_IT_number 12
_space_group_name_Hall '-C 2y'
_cell_length_a 9.777
_cell_length_b 8.780
_cell_length_c 5.057
_cell_angle_alpha 90.00
_cell_angle_beta 100.09
_cell_angle_gamma 90.00
loop_
_atom_site_label
_atom_site_type_symbol
_atom_site_fract_x
_atom_site_fract_y
_atom_site_fract_z
Li1 Li 0.000 0.000 0.000
Li2 Li 0.243 0.000 0.762
Li3 Li 0.250 0.166 0.248
Mn1 Mn 0.000 0.164 0.500
Co1 Co 0.000 0.324 0.000
Co2 Co 0.000 0.500 0.500
O1 O 0.111 0.500 0.866
O2 O 0.113 0.000 0.395
O3 O 0.113 0.173 0.856
O4 O 0.114 0.324 0.380
```